VASP calculation (GGA+U) on crystalline Ni2BrOF at its relaxed geometry.

Values from the calculation:
Its total energy is -2.41 eV per atom. The density of states at the Fermi level comes out at 3.982 states/eV per cell. Its space-group type is P4/mmm, No. 123.

abc: 4.0177 4.4646 4.0177
angles: 90.00 90.00 90.00
Each line ends with the local moment (μB).
Sites, in units of the cell vectors:
1 O 0.0000 0.5000 0.0000  -0.14
2 Br 0.5000 0.5000 0.5000  0.18
3 Ni 0.5000 0.0000 0.0000  1.11
4 Ni 0.0000 0.0000 0.5000  1.05
5 F 0.0000 0.0000 0.0000  -0.08